The following is a DFT calculation (PBE with a Hubbard U) of a relaxed AlFe2BiO crystal.

a b c (Å): 4.838 3.594 4.838
angles (deg): 90.00 90.00 90.00
Each line ends with the local moment (μB).
Positions (direct):
Al 0.000 0.500 0.000  -0.04
Bi 0.500 0.500 0.500  -0.07
O 0.000 0.000 0.000  0.02
Fe 0.000 0.000 0.500  3.02
Fe 0.500 0.000 0.000  3.04

Computed properties:
calculated density: 7.180 g cm⁻³
uncorrected energy: -4.847 eV/atom

The following is a DFT calculation (PBE with a Hubbard U) of a relaxed Co2Rh2F crystal.

a b c (Å): 3.296 3.296 6.864
angles (deg): 76.11 76.11 90.00
Each line ends with the local moment (μB).
Positions (direct):
Co 0.750 0.250 0.500  2.15
Co 0.250 0.750 0.500  2.15
Rh 0.395 0.395 0.210  1.12
Rh 0.605 0.605 0.790  1.12
F 0.000 0.000 0.000  0.09

Computed properties:
calculated density: 8.113 g cm⁻³
uncorrected energy: -4.912 eV/atom

> Look up the calculated density of the first one.

7.180 g cm⁻³

What did the first record say?
The following is a DFT calculation (PBE with a Hubbard U) of a relaxed AlFe2BiO crystal.

a b c (Å): 4.838 3.594 4.838
angles (deg): 90.00 90.00 90.00
Each line ends with the local moment (μB).
Positions (direct):
Al 0.000 0.500 0.000  -0.04
Bi 0.500 0.500 0.500  -0.07
O 0.000 0.000 0.000  0.02
Fe 0.000 0.000 0.500  3.02
Fe 0.500 0.000 0.000  3.04

Computed properties:
calculated density: 7.180 g cm⁻³
uncorrected energy: -4.847 eV/atom

> Which of these has the highest calculated density?

Co2Rh2F